A relaxed structure of NpCd2Ni2O6, computed with PBE+U.

```
NpCd2Ni2O6
1.0
2.774 -4.754 0.000
2.774 4.754 0.000
-2.032 0.000 5.503
Np Cd Ni O
1 2 2 6
direct
0.000 0.000 0.000
0.174 0.826 0.500
0.826 0.174 0.500
0.335 0.665 0.000
0.665 0.335 0.000
0.059 0.415 0.212
0.258 0.258 0.791
0.415 0.059 0.212
0.585 0.941 0.788
0.742 0.742 0.209
0.941 0.585 0.788
```

Properties
The value obtained for the volume is 13.20 A^3/atom. The value obtained for the total DFT energy (no corrections) is -65.88 eV/f.u.